Mg2CuSe (PBE-GGA, optimized geometry); formation energy from raw total energies = -156 meV/atom; DOS at the Fermi energy = 0.457 states/eV/cell; SG = No. 122; calculated density = 3.24 Mg/m³; spin magnetization = 0.0 μB per cell; total energy = -0.105 Ha/atom
1.0
5.107 0.000 0.000
0.000 5.107 0.000
2.553 2.553 7.520
Mg Cu Se
4 2 2
Direct
0.607 0.125 0.250
0.143 0.625 0.250
0.375 0.393 0.750
0.875 0.857 0.750
0.500 0.500 0.000
0.250 0.750 0.500
0.000 0.000 0.000
0.750 0.250 0.500

Y2HoHf (PBE-GGA, optimized geometry); DOS at the Fermi energy = 7.016 states/eV/cell; SG = No. 166; offset from the most stable computed form = 1.02 eV/f.u.; calculated density = 7.45 Mg/m³; spin magnetization = 0.0 μB per cell; total energy = -0.239 Ha/atom
1.0
3.342 0.000 0.000
1.671 2.894 0.000
1.671 0.965 12.013
Y Hf Ho
2 1 1
Direct
0.087 0.087 0.740
0.913 0.913 0.260
0.000 0.000 0.000
0.500 0.500 0.500

Ca3DyMg4 (PBE-GGA, optimized geometry); DOS at the Fermi energy = 8.694 states/eV/cell; SG = No. 123; calculated density = 2.62 Mg/m³; spin magnetization = 0.2 μB per cell; total energy = -0.081 Ha/atom
1.0
3.842 0.000 0.000
0.000 3.842 0.000
0.000 0.000 16.332
Ca Mg Dy
3 4 1
Direct
0.500 0.500 0.242
0.500 0.500 0.500
0.500 0.500 0.758
0.000 0.000 0.886
0.000 0.000 0.114
0.000 0.000 0.370
0.000 0.000 0.630
0.500 0.500 0.000

ScIr2Ru (PBE-GGA, optimized geometry); DOS at the Fermi energy = 3.455 states/eV/cell; SG = No. 139; offset from the most stable computed form = 0.18 eV/f.u.; calculated density = 14.35 Mg/m³; spin magnetization = 0.0 μB per cell; total energy = -0.321 Ha/atom
1.0
-3.381 -3.474 -0.297
-0.002 -2.702 4.036
-0.169 4.800 -0.724
Ir Ru Sc
2 1 1
Direct
0.000 0.000 0.000
0.500 0.500 0.000
0.750 0.250 0.500
0.250 0.750 0.500

TbSc3Tl2 (PBE-GGA, optimized geometry); DOS at the Fermi energy = 15.873 states/eV/cell; SG = No. 12; offset from the most stable computed form = 0.56 eV/f.u.; calculated density = 7.60 Mg/m³; spin magnetization = 0.3 μB per cell; total energy = -0.179 Ha/atom
1.0
-0.372 4.926 -1.397
-6.729 -4.233 -3.704
0.268 2.424 8.474
Tb Sc Tl
2 6 4
Direct
0.868 0.737 0.901
0.132 0.263 0.099
0.300 0.600 0.592
0.942 0.884 0.596
0.612 0.224 0.674
0.388 0.776 0.326
0.058 0.116 0.404
0.700 0.400 0.408
0.513 0.025 0.848
0.487 0.975 0.152
0.780 0.560 0.156
0.220 0.440 0.844

NaPm2Mg (PBE-GGA, optimized geometry); DOS at the Fermi energy = 4.662 states/eV/cell; SG = No. 123; offset from the most stable computed form = 0.18 eV/f.u.; calculated density = 4.54 Mg/m³; spin magnetization = 0.0 μB per cell; total energy = -0.109 Ha/atom
1.0
-0.872 1.944 -3.279
-2.188 -4.686 -2.196
-5.021 1.345 2.133
Na Mg Pm
1 1 2
Direct
0.500 0.000 0.000
0.500 0.500 0.500
0.000 0.000 0.500
0.000 0.500 0.000

Zn8Pt3 (PBE-GGA, optimized geometry); DOS at the Fermi energy = 2.050 states/eV/cell; SG = No. 12; offset from the most stable computed form = 0.00 eV/f.u.; calculated density = 11.52 Mg/m³; spin magnetization = 0.0 μB per cell; total energy = -0.110 Ha/atom
1.0
-2.005 -2.565 1.879
-0.497 -0.374 -4.799
8.089 -5.238 1.481
Zn Pt
8 3
Direct
0.726 0.452 0.090
0.274 0.548 0.910
0.546 0.092 0.820
0.454 0.908 0.180
0.824 0.649 0.726
0.176 0.351 0.274
0.629 0.259 0.455
0.371 0.741 0.545
0.000 0.000 0.000
0.895 0.790 0.355
0.105 0.210 0.645

La2HgHPd (PBE-GGA, optimized geometry); DOS at the Fermi energy = 2.713 states/eV/cell; SG = No. 123; calculated density = 8.72 Mg/m³; spin magnetization = 0.0 μB per cell; total energy = -0.158 Ha/atom
1.0
5.390 0.000 0.000
0.000 5.390 0.000
0.000 0.000 3.839
H Hg Pd La
1 1 1 2
Direct
0.000 0.000 0.000
0.500 0.500 0.500
0.000 0.000 0.500
0.000 0.500 0.000
0.500 0.000 0.000

Among the records above, which one has the highest calculated density?
ScIr2Ru

Number 5 is which compound?
TbSc3Tl2

Number 3 is which compound?
Ca3DyMg4